one) First-principles (PBE) data for a relaxed MgTaH crystal, as listed in Alexandria via LeMat-Bulk.

Lattice parameters (Å, degrees): 5.901 5.302 3.071 90.01 74.91 63.30
Fractional positions:
H 0.378 0.267 0.521
H 0.707 0.603 0.857
Mg 0.042 0.258 0.190
Mg 0.042 0.780 0.690
Ta 0.542 0.353 0.940
Ta 0.543 0.853 0.439

Results
M_tot   0.0 μB per cell

two) First-principles (PBE) data for a relaxed MgTaH crystal, as listed in Alexandria via LeMat-Bulk.

Lattice parameters (Å, degrees): 5.103 3.055 5.303 90.00 90.00 90.00
Fractional positions:
H 0.517 0.000 0.859
H 0.753 0.000 0.519
Mg 0.380 0.500 0.680
Mg 0.397 0.000 0.201
Ta 0.880 0.000 0.869
Ta 0.907 0.500 0.340

Results
M_tot   0.0 μB per cell

In terms of stability, one) leads; the second structure lies 65 meV per atom higher.

one) First-principles (PBE) data for a relaxed Ho3ScRu3 crystal, as listed in Alexandria via LeMat-Bulk.

Lattice parameters (Å, degrees): 6.695 6.695 6.626 90.09 90.09 87.27
Fractional positions:
Ho 0.754 0.754 0.499
Ho 0.248 0.752 0.500
Ho 0.752 0.248 0.500
Ho 0.266 0.734 0.000
Ho 0.734 0.266 0.000
Ho 0.246 0.246 0.501
Sc 0.776 0.776 0.999
Sc 0.224 0.224 0.001
Ru 0.000 0.000 0.245
Ru 0.000 0.500 0.757
Ru 0.500 0.000 0.757
Ru 0.000 0.500 0.243
Ru 0.500 0.000 0.243
Ru 0.000 0.000 0.755

Results
M_tot   0.0 μB per cell

two) First-principles (PBE) data for a relaxed Ho3ScRu3 crystal, as listed in Alexandria via LeMat-Bulk.

Lattice parameters (Å, degrees): 5.715 5.796 5.715 109.76 109.18 109.76
Fractional positions:
Ho 0.414 0.003 0.000
Ho 0.586 0.590 0.586
Ho 0.000 0.003 0.414
Sc 0.000 0.417 0.000
Ru 0.492 0.501 0.000
Ru 0.508 0.009 0.508
Ru 0.000 0.501 0.492

Results
M_tot   0.0 μB per cell

In terms of stability, two) leads; the second structure lies 8 meV per atom higher.